(1)
A relaxed CsZr2PbAu crystal. Source: the Alexandria database, functional PBE.

extended XYZ file:
```
5
Lattice="5.334 0.000 0.000 0.000 5.334 0.000 0.000 0.000 5.592" Properties=species:S:1:pos:R:3 pbc="T T T"
Cs 0.000 0.000 0.000
Zr 0.000 2.667 0.000
Zr 2.667 0.000 0.000
Pb 2.667 2.667 2.796
Au 0.000 0.000 2.796
```

Calculated values
formation energy from the elements = 1.79 eV per atom
M_tot = 0.0 μB per formula unit
volume = 159 Å³/f.u.

=====

(2)
A relaxed CsTe6I2 crystal. Source: the Alexandria database, functional PBE.

extended XYZ file:
```
9
Lattice="-2.736 5.087 7.542 2.736 -5.087 7.542 2.736 5.087 -7.542" Properties=species:S:1:pos:R:3 pbc="T T T"
Cs 0.000 0.000 0.000
Te 2.736 -1.960 3.512
Te 2.736 0.000 5.486
Te 2.736 1.960 3.512
Te 0.000 3.126 4.030
Te 0.000 5.087 2.056
Te 0.000 7.047 4.030
I 2.736 2.805 0.000
I 0.000 2.282 7.542
```

Calculated values
E_tot = -2.7700 eV/atom
M_tot = 0.0 μB per formula unit
volume = 420 Å³/f.u.

=====

(3)
A relaxed AcHgGeSb crystal. Source: the Alexandria database, functional PBE.

extended XYZ file:
```
4
Lattice="0.000 3.832 3.832 3.832 0.000 3.832 3.832 3.832 0.000" Properties=species:S:1:pos:R:3 pbc="T T T"
Ac 0.000 0.000 0.000
Hg 5.748 5.748 5.748
Ge 1.916 1.916 1.916
Sb 3.832 3.832 3.832
```

Calculated values
E_tot = -3.5645 eV/atom
M_tot = 0.0 μB per formula unit
volume = 113 Å³/f.u.

=====

(4)
A relaxed ZrPBrCl2 crystal. Source: the Alexandria database, functional PBE.

extended XYZ file:
```
5
Lattice="4.865 0.000 0.000 0.000 4.865 0.000 0.000 0.000 5.430" Properties=species:S:1:pos:R:3 pbc="T T T"
Zr 0.000 0.000 0.000
P 2.432 2.432 0.000
Br 2.432 2.432 2.715
Cl 0.000 2.432 2.715
Cl 2.432 0.000 2.715
```

Calculated values
M_tot = 1.2 μB per formula unit
offset from the most stable computed form = 1400 meV per atom
volume = 128 Å³/f.u.